Version one
Density functional theory data (PBE-GGA) for a relaxed structure of Pr2ErTl3.

```
Pr2ErTl3
1.0
3.8364 0.0000 0.0000
0.0000 3.8364 0.0000
0.0000 0.0000 11.8926
Pr Er Tl
2 1 3
Cartesian
1.9182 1.9182 9.8294
1.9182 1.9182 2.0632
1.9182 1.9182 5.9463
0.0000 0.0000 0.0000
0.0000 0.0000 7.7532
0.0000 0.0000 4.1394
```

## Properties
Spin magnetization, μB/f.u.: 0.0
Theoretical density, g cm⁻³: 10.1
SG: P4/mmm

---

Version two
Density functional theory data (PBE-GGA) for a relaxed structure of Pr2ErTl3.

```
Pr2ErTl3
1.0
-3.6739 0.6563 0.6698
-0.8583 -6.5095 1.6709
4.9443 2.8401 13.6043
Pr Er Tl
4 2 6
Cartesian
0.3223 -3.8971 5.5867
0.0898 0.8841 10.3583
0.5924 -1.4205 15.3736
-0.1803 -1.5925 0.5713
1.4236 -2.7742 10.5268
-1.0115 -0.2387 5.4182
2.1987 -0.5204 12.5700
-1.7866 -2.4925 3.3749
2.6111 2.6075 11.7671
-2.1990 -5.6205 4.1779
-0.9406 -2.9837 8.4964
1.3527 -0.0293 7.4486
```

## Properties
Spin magnetization, μB/f.u.: 0.0
Theoretical density, g cm⁻³: 9.4
SG: Cmcm

---

The energy of each structure relative to the most stable one, in meV/atom, is as follows: version one 0; version two 143.

---

Version one
Density functional theory data (PBE-GGA) for a relaxed structure of Pr5ErTl4.

```
Pr5ErTl4
1.0
3.7222 0.0000 0.0000
0.0000 3.7222 0.0000
0.0000 0.0000 22.5187
Pr Er Tl
5 1 4
Cartesian
1.8611 1.8611 2.5088
1.8611 1.8611 6.8697
1.8611 1.8611 11.2593
1.8611 1.8611 15.6490
1.8611 1.8611 20.0099
0.0000 0.0000 0.0000
0.0000 0.0000 4.6796
0.0000 0.0000 9.0628
0.0000 0.0000 13.4559
0.0000 0.0000 17.8391
```

## Properties
Spin magnetization, μB/f.u.: 0.0
Theoretical density, g cm⁻³: 9.0
SG: P4/mmm

---

Version two
Density functional theory data (PBE-GGA) for a relaxed structure of Pr5ErTl4.

```
Pr5ErTl4
1.0
9.0401 0.0000 0.0000
0.0000 7.6882 0.0000
0.0000 0.0000 10.4973
Pr Er Tl
10 2 8
Cartesian
2.5570 5.7362 8.4324
2.5570 1.9519 8.4324
7.0087 3.8441 0.0000
2.5570 5.7362 2.0648
2.5570 1.9519 2.0648
6.4831 5.7960 3.1838
6.4831 1.8921 3.1838
2.0314 0.0000 5.2486
6.4831 1.8921 7.3135
6.4831 5.7960 7.3135
7.7845 0.0000 0.0000
1.2556 3.8441 5.2486
0.0186 0.0000 7.6996
4.9602 6.1802 0.0000
4.9602 1.5080 0.0000
0.0186 0.0000 2.7977
9.0215 3.8441 2.4510
4.0799 5.3521 5.2486
4.0799 2.3361 5.2486
9.0215 3.8441 8.0463
```

## Properties
Spin magnetization, μB/f.u.: 0.0
Theoretical density, g cm⁻³: 7.7
SG: Pmmn

---

The energy of each structure relative to the most stable one, in meV/atom, is as follows: version one 0; version two 281.

---

Version one
Density functional theory data (PBE-GGA) for a relaxed structure of PrEr3Tl2.

```
PrEr3Tl2
1.0
-0.1549 -4.4719 -2.4923
4.9971 -2.3913 3.9801
-6.8202 -3.3982 6.5212
Pr Er Tl
2 6 4
Cartesian
-1.0250 -5.3991 4.4883
-2.9388 -3.9121 1.9391
-4.2380 -4.3378 8.0467
4.4746 -2.4373 4.0952
2.0242 -4.4506 2.5969
-4.8194 -5.4198 4.7613
-0.4395 -1.8243 3.3006
-0.5952 -4.3425 7.8286
-2.4602 -6.8854 7.2445
0.0756 -3.1814 0.4408
-2.9362 -2.8598 5.3137
1.4745 -3.1027 5.4755
```

## Properties
Spin magnetization, μB/f.u.: 0.0
Theoretical density, g cm⁻³: 10.0
SG: Pmc2_1

---

Version two
Density functional theory data (PBE-GGA) for a relaxed structure of PrEr3Tl2.

```
PrEr3Tl2
1.0
5.3953 0.0000 0.0000
-2.6977 8.8637 -0.8522
0.0000 -4.7565 7.9678
Pr Er Tl
2 6 4
Cartesian
2.6977 2.2009 6.6115
0.0000 1.9064 0.5041
0.0000 2.5755 4.2698
2.6977 4.9669 3.9746
2.6977 -1.2515 5.3053
0.0000 5.3587 1.8103
0.0000 -0.8596 3.1410
2.6977 1.5317 2.8458
2.6977 -3.8018 6.8407
0.0000 7.9091 0.2748
2.6977 4.2075 0.7455
0.0000 -0.1003 6.3700
```

## Properties
Spin magnetization, μB/f.u.: 0.4
Theoretical density, g cm⁻³: 9.7
SG: C2/m

---

The energy of each structure relative to the most stable one, in meV/atom, is as follows: version one 0; version two 88.